DFT (PBE-GGA) results for a relaxed Mo4Os2N crystal.

The structure belongs to space group Fd-3m (No. 227, origin choice 2); the cell edges are 11.671, 11.671 and 11.671 Å and the angles 90.00°, 90.00° and 90.00°. The inequivalent atoms are Mo at (0.000, 0.000, 0.000), Mo at (0.068, 0.375, 0.875), Os at (0.037, 0.037, 0.213) and N at (0.000, 0.000, 0.500).

The value obtained for the energy above the most stable polymorph in this dataset is 0.00 eV per formula unit. As for the formation energy from raw total energies: 0.0460 eV/atom. For the volume, the calculation gives 1590 Å³ per cell. The value obtained for the total energy is -1180.59 eV per cell.